Entry 1:
# Ba2SrTlSe4

Ba2SrTlSe4 after structural relaxation (GGA-PBE, Alexandria).

abc: 7.890 4.603 7.978
angles: 90.00 109.91 90.00
Element x y z (fractional)
Ba 0.000 0.000 0.000
Ba 0.000 0.500 0.500
Sr 0.500 0.000 0.500
Tl 0.500 0.500 0.000
Se 0.262 0.500 0.258
Se 0.263 0.000 0.752
Se 0.737 0.000 0.248
Se 0.738 0.500 0.742

Values from the calculation:
space-group type: P2/m, No. 10
volume: 34.05 A^3/atom
raw formation energy: -12.30 eV/f.u.


Entry 2:
# LiPmGa4Pd2

LiPmGa4Pd2 after structural relaxation (GGA-PBE, Alexandria).

abc: 9.027 9.027 9.027
angles: 27.67 27.67 27.67
Element x y z (fractional)
Li 0.000 0.000 0.000
Pm 0.500 0.500 0.500
Ga 0.101 0.101 0.101
Ga 0.370 0.370 0.370
Ga 0.630 0.630 0.630
Ga 0.899 0.899 0.899
Pd 0.266 0.266 0.266
Pd 0.734 0.734 0.734

Values from the calculation:
space-group type: R-3m, No. 166
formation energy from the elements: -5.06 eV per formula unit
volume: 17.51 A^3/atom


Entry 3:
# MnCrFe2

MnCrFe2 after structural relaxation (GGA-PBE, Alexandria).

abc: 2.443 3.980 4.742
angles: 90.00 99.90 90.00
Element x y z (fractional)
Mn 0.000 0.000 0.000
Cr 0.772 0.500 0.245
Fe 0.271 0.500 0.746
Fe 0.518 0.000 0.501

Values from the calculation:
space-group type: Pm, No. 6
formation energy from the elements: 0.29 eV per formula unit
volume: 11.35 A^3/atom


Entry 4:
# RhWCl2

RhWCl2 after structural relaxation (GGA-PBE, Alexandria).

abc: 13.031 2.978 4.585
angles: 90.00 97.03 90.00
Element x y z (fractional)
Rh 0.000 0.000 0.000
Rh 0.500 0.500 0.000
W 0.000 0.500 0.500
W 0.500 0.000 0.500
Cl 0.141 0.000 0.709
Cl 0.359 0.500 0.291
Cl 0.641 0.500 0.709
Cl 0.859 0.000 0.291

Values from the calculation:
space-group type: C2/m, No. 12
volume: 22.08 A^3/atom
raw formation energy: 0.44 eV/f.u.


Entry 5:
# Mn2CoIr

Mn2CoIr after structural relaxation (GGA-PBE, Alexandria).

abc: 5.111 7.225 2.605
angles: 90.00 90.00 90.00
Element x y z (fractional)
Mn 0.250 0.250 0.000
Mn 0.250 0.750 0.000
Mn 0.750 0.250 0.000
Mn 0.750 0.750 0.000
Co 0.000 0.000 0.500
Co 0.500 0.500 0.500
Ir 0.000 0.500 0.500
Ir 0.500 0.000 0.500

Values from the calculation:
space-group type: Cmmm, No. 65
formation energy from the elements: -0.08 eV per formula unit
volume: 12.02 A^3/atom


Entry 6:
# Y2BeGaNi6

Y2BeGaNi6 after structural relaxation (GGA-PBE, Alexandria).

abc: 6.000 6.000 6.000
angles: 60.00 60.00 60.00
Element x y z (fractional)
Y 0.250 0.250 0.250
Y 0.750 0.750 0.750
Be 0.000 0.000 0.000
Ga 0.500 0.500 0.500
Ni 0.233 0.233 0.767
Ni 0.233 0.767 0.233
Ni 0.233 0.767 0.767
Ni 0.767 0.233 0.233
Ni 0.767 0.233 0.767
Ni 0.767 0.767 0.233

Values from the calculation:
space-group type: Fm-3m, No. 225
formation energy from the elements: -1.59 eV per formula unit
volume: 15.27 A^3/atom


Entry 7:
# Pm5GeBi4

Pm5GeBi4 after structural relaxation (GGA-PBE, Alexandria).

abc: 16.284 16.284 16.284
angles: 164.03 164.03 22.66
Element x y z (fractional)
Pm 0.000 0.000 0.000
Pm 0.200 0.200 0.000
Pm 0.406 0.406 0.000
Pm 0.594 0.594 0.000
Pm 0.800 0.800 0.000
Ge 0.500 0.500 0.000
Bi 0.100 0.100 0.000
Bi 0.302 0.302 0.000
Bi 0.698 0.698 0.000
Bi 0.900 0.900 0.000

Values from the calculation:
space-group type: I4/mmm, No. 139
formation energy from the elements: -8.67 eV per formula unit
volume: 32.67 A^3/atom


Entry 8:
# SmGa2CuNi4

SmGa2CuNi4 after structural relaxation (GGA-PBE, Alexandria).

abc: 8.568 8.568 8.568
angles: 27.32 27.32 27.32
Element x y z (fractional)
Sm 0.000 0.000 0.000
Ga 0.235 0.235 0.235
Ga 0.765 0.765 0.765
Cu 0.500 0.500 0.500
Ni 0.129 0.129 0.129
Ni 0.405 0.405 0.405
Ni 0.595 0.595 0.595
Ni 0.871 0.871 0.871

Values from the calculation:
space-group type: R-3m, No. 166
formation energy from the elements: -2.72 eV per formula unit
volume: 14.62 A^3/atom


Entry 9:
# Y5Al2Tl

Y5Al2Tl after structural relaxation (GGA-PBE, Alexandria).

abc: 9.116 9.116 9.116
angles: 129.02 129.02 74.99
Element x y z (fractional)
Y 0.000 0.000 0.000
Y 0.022 0.522 0.835
Y 0.187 0.022 0.500
Y 0.313 0.813 0.835
Y 0.478 0.313 0.500
Y 0.500 0.500 0.000
Y 0.522 0.687 0.500
Y 0.687 0.187 0.165
Y 0.813 0.978 0.500
Y 0.978 0.478 0.165
Al 0.122 0.378 0.500
Al 0.378 0.878 0.255
Al 0.622 0.122 0.745
Al 0.878 0.622 0.500
Tl 0.250 0.250 0.000
Tl 0.750 0.750 0.000

Values from the calculation:
space-group type: I4/mcm, No. 140
formation energy from the elements: -2.87 eV per formula unit
volume: 27.83 A^3/atom


Entry 10:
# CrOs2Rh

CrOs2Rh after structural relaxation (GGA-PBE, Alexandria).

abc: 5.367 7.595 2.703
angles: 90.00 90.00 90.00
Element x y z (fractional)
Cr 0.000 0.000 0.000
Cr 0.500 0.500 0.000
Os 0.250 0.250 0.500
Os 0.250 0.750 0.500
Os 0.750 0.250 0.500
Os 0.750 0.750 0.500
Rh 0.000 0.500 0.000
Rh 0.500 0.000 0.000

Values from the calculation:
space-group type: Cmmm, No. 65
formation energy from the elements: 0.38 eV per formula unit
volume: 13.77 A^3/atom


Entry 11:
# LiZn3Pt

LiZn3Pt after structural relaxation (GGA-PBE, Alexandria).

abc: 4.185 4.196 8.426
angles: 90.00 104.31 90.00
Element x y z (fractional)
Li 0.155 0.250 0.310
Li 0.845 0.750 0.690
Zn 0.052 0.750 0.105
Zn 0.251 0.750 0.501
Zn 0.446 0.750 0.892
Zn 0.554 0.250 0.108
Zn 0.749 0.250 0.499
Zn 0.948 0.250 0.895
Pt 0.348 0.250 0.697
Pt 0.652 0.750 0.303

Values from the calculation:
space-group type: P2_1/m, No. 11
formation energy from the elements: -2.18 eV per formula unit
volume: 14.34 A^3/atom


Entry 12:
# CsBiF2

CsBiF2 after structural relaxation (GGA-PBE, Alexandria).

abc: 7.243 7.243 7.243
angles: 90.00 90.00 90.00
Element x y z (fractional)
Cs 0.000 0.000 0.000
Cs 0.000 0.500 0.500
Cs 0.500 0.000 0.500
Cs 0.500 0.500 0.000
Bi 0.000 0.000 0.500
Bi 0.000 0.500 0.000
Bi 0.500 0.000 0.000
Bi 0.500 0.500 0.500
F 0.250 0.250 0.250
F 0.250 0.250 0.750
F 0.250 0.750 0.250
F 0.250 0.750 0.750
F 0.750 0.250 0.250
F 0.750 0.250 0.750
F 0.750 0.750 0.250
F 0.750 0.750 0.750

Values from the calculation:
space-group type: Fm-3m, No. 225
volume: 23.75 A^3/atom
raw formation energy: -5.02 eV/f.u.